# PBE Nd2Zn5Ru, optimized geometry
data_Nd2Zn5Ru
_cell_length_a 4.2106
_cell_length_b 8.5416
_cell_length_c 9.1037
_cell_angle_alpha 90.00
_cell_angle_beta 90.00
_cell_angle_gamma 104.27
_space_group_name_H-M_alt 'P 1'
_space_group_IT_number 1
loop_
_space_group_symop_operation_xyz
'x,y,z'
loop_
_atom_site_label
_atom_site_fract_x
_atom_site_fract_y
_atom_site_fract_z
Nd1 0.8163 0.6325 0.7500
Nd2 0.1837 0.3675 0.2500
Nd3 0.0000 0.0000 0.0000
Nd4 0.0000 0.0000 0.5000
Zn1 0.1945 0.3890 0.8906
Zn2 0.8055 0.6110 0.1094
Zn3 0.1945 0.3890 0.6094
Zn4 0.8055 0.6110 0.3906
Zn5 0.3547 0.7093 0.9812
Zn6 0.6453 0.2907 0.0188
Zn7 0.3547 0.7093 0.5188
Zn8 0.6453 0.2907 0.4812
Zn9 0.6020 0.2039 0.7500
Zn10 0.3980 0.7961 0.2500
Ru1 0.4475 0.8949 0.7500
Ru2 0.5525 0.1051 0.2500
# Magnetization   0.00 μB/f.u.
# N(E_F)   13.05 states/eV/cell
# Final energy   -3.39 eV/atom